Record 1
## LiCa2H (PBE)

Data for a relaxed LiCa2H crystal.

Computed properties:
Relative energy among the computed polymorphs   0.449 eV per atom
Density of states at the Fermi level   3.1 states/eV per cell
Total DFT energy (no corrections)   -2.02 eV/atom
Total moment   0.0 Bohr magnetons per cell
Symmetry   Fm-3m, No. 225
Calculated volume   25.755 Å³/atom

Geometry as CIF:
```
data_LiCa2H
_space_group_name_H-M_alt 'P 1'
_space_group_IT_number 1
_cell_length_a 5.262
_cell_length_b 5.262
_cell_length_c 5.262
_cell_angle_alpha 60.00
_cell_angle_beta 60.00
_cell_angle_gamma 60.00
loop_
_space_group_symop_operation_xyz
'x,y,z'
loop_
_atom_site_label
_atom_site_fract_x
_atom_site_fract_y
_atom_site_fract_z
_atom_site_occupancy
H1 0.000 0.000 0.000 1
Ca1 0.250 0.250 0.250 1
Ca2 0.750 0.750 0.750 1
Li1 0.500 0.500 0.500 1
```

***

Record 2
## LiCaH2 (PBE)

Data for a relaxed LiCaH2 crystal.

Computed properties:
Relative energy among the computed polymorphs   0.145 eV per atom
Density of states at the Fermi level   4.9 states/eV per cell
Total DFT energy (no corrections)   -2.83 eV/atom
Total moment   2.0 Bohr magnetons per cell
Symmetry   I-42d, No. 122
Calculated volume   14.673 Å³/atom

Geometry as CIF:
```
data_LiCaH2
_space_group_name_H-M_alt 'P 1'
_space_group_IT_number 1
_cell_length_a 4.660
_cell_length_b 4.660
_cell_length_c 6.331
_cell_angle_alpha 68.41
_cell_angle_beta 68.41
_cell_angle_gamma 90.00
loop_
_space_group_symop_operation_xyz
'x,y,z'
loop_
_atom_site_label
_atom_site_fract_x
_atom_site_fract_y
_atom_site_fract_z
_atom_site_occupancy
H1 0.571 0.125 0.250 1
H2 0.179 0.625 0.250 1
H3 0.375 0.429 0.750 1
H4 0.875 0.821 0.750 1
Ca1 0.000 0.000 0.000 1
Ca2 0.750 0.250 0.500 1
Li1 0.500 0.500 0.000 1
Li2 0.250 0.750 0.500 1
```

***

Record 3
## LiCaH (PBE)

Data for a relaxed LiCaH crystal.

Computed properties:
Relative energy among the computed polymorphs   0.070 eV per atom
Density of states at the Fermi level   1.5 states/eV per cell
Total DFT energy (no corrections)   -2.62 eV/atom
Total moment   0.0 Bohr magnetons per cell
Symmetry   Cm, No. 8
Calculated volume   21.152 Å³/atom

Geometry as CIF:
```
data_LiCaH
_space_group_name_H-M_alt 'P 1'
_space_group_IT_number 1
_cell_length_a 5.672
_cell_length_b 3.743
_cell_length_c 6.469
_cell_angle_alpha 90.00
_cell_angle_beta 112.49
_cell_angle_gamma 90.00
loop_
_space_group_symop_operation_xyz
'x,y,z'
loop_
_atom_site_label
_atom_site_fract_x
_atom_site_fract_y
_atom_site_fract_z
_atom_site_occupancy
Li1 0.677 0.000 0.696 1
Li2 0.677 0.500 0.196 1
Ca1 0.160 0.000 0.191 1
Ca2 0.160 0.500 0.691 1
H1 0.019 0.000 0.811 1
H2 0.019 0.500 0.311 1
```